# GGA-PBEsol GaCBr2, relaxed
data_GaCBr2
_chemical_formula_sum 'Ga3 C3 Br6'
_cell_length_a 3.7806
_cell_length_b 3.7806
_cell_length_c 24.5297
_cell_angle_alpha 90.00
_cell_angle_beta 90.00
_cell_angle_gamma 120.00
_space_group_name_H-M_alt 'R -3 m'
_space_group_IT_number 166
_space_group_name_Hall '-R 3 2"'
loop_
_atom_site_label
_atom_site_fract_x
_atom_site_fract_y
_atom_site_fract_z
Ga1 0.0000 0.0000 0.0000
C1 0.0000 0.0000 0.5000
Br1 0.0000 0.0000 0.4104
# Energy relative to the lowest polymorph listed for this composition, kJ per mole of atoms: 0.0
# Electronic total energy, eV for the cell shown: -34.41
# Calculated volume, Å³ per atom: 25.30
# Raw formation energy, eV per atom: 1.313
# Crystal system: trigonal

# GGA-PBEsol GaC2Br, relaxed
data_GaC2Br
_chemical_formula_sum 'Ga4 C8 Br4'
_cell_length_a 4.866
_cell_length_b 4.866
_cell_length_c 10.091
_cell_angle_alpha 90.00
_cell_angle_beta 90.00
_cell_angle_gamma 90.00
_space_group_name_H-M_alt 'I -4 2 d'
_space_group_IT_number 122
_space_group_name_Hall 'I -4 2bw'
loop_
_atom_site_label
_atom_site_fract_x
_atom_site_fract_y
_atom_site_fract_z
Ga1 0.000 0.000 0.000
C1 0.199 0.250 0.125
Br1 0.000 0.000 0.500
# Electronic total energy, eV for the cell shown: -68.26
# Calculated volume, Å³ per atom: 14.93
# Raw formation energy, eV per atom: 1.858
# Crystal system: tetragonal